Mg3CBr | SCAN | single point on PBEsol structure

CIF file:
```
data_Mg3CBr
_cell_length_a 4.987
_cell_length_b 4.987
_cell_length_c 4.987
_cell_angle_alpha 90.00
_cell_angle_beta 90.00
_cell_angle_gamma 90.00
_symmetry_space_group_name_H-M 'P m -3 m'
_symmetry_Int_Tables_number 221
_symmetry_space_group_name_Hall '-P 4 2 3'
loop_
_atom_site_label
_atom_site_type_symbol
_atom_site_fract_x
_atom_site_fract_y
_atom_site_fract_z
Mg1 Mg 0.000 0.000 0.500
C1 C 0.500 0.500 0.500
Br1 Br 0.000 0.000 0.000
```

Output
For the uncorrected formation energy, the calculation gives 1.62 eV per atom.